{
  "formula": "BaZr2NiSn",
  "functional": "PBE",
  "state": "optimized geometry",
  "lattice": [[5.3183, 0.0000, 0.0000], [0.0000, 5.3183, 0.0000], [0.0000, 0.0000, 5.8279]],
  "species": ["Ba", "Zr", "Zr", "Ni", "Sn"],
  "fractional_positions": [[0.0000, 0.0000, 0.0000], [0.0000, 0.5000, 0.0000], [0.5000, 0.0000, 0.0000], [0.5000, 0.5000, 0.5000], [0.0000, 0.0000, 0.5000]],
  "e_form_ev_per_atom": 2.127,
  "mass_density_g_cm3": 5.01,
  "dos_ef_per_ev_atom": 2.0384,
  "volume_a3_per_cell": 165,
  "spacegroup": "P4/mmm, No. 123",
  "total_magnetization_mub_per_fu": 0.484
}